Here is a geometry-optimized LiTc3Ag structure from the Alexandria database. Energies are from PBEsol.

## Properties
DFT formation energy (meV/atom): 1358
Theoretical density (g/cm³): 9.921
SG: Pm-3m
VASP energy (eV/atom): -6.4577
M_tot (μB per formula unit): 0.0

```
LiTc3Ag
1.0
-2.501 -0.661 -3.168
2.319 -3.159 -1.171
-2.258 -2.512 2.307
Li Tc Ag
1 3 1
Cartesian
0.000 0.000 0.000
-1.251 -0.330 -1.584
-1.129 -1.256 1.153
1.159 -1.580 -0.586
-1.220 -3.166 -1.016
```